DFT (PBE) results for Pm2HoF8 after structural relaxation.

Unit cell a=3.790 b=5.595 c=7.764 alpha=110.35 beta=104.13 gamma=90.00
Fractional positions:
F (0.039, 0.800, 0.078)
F (0.412, 0.565, 0.823)
Ho (0.500, 0.000, 0.000)
Pm (0.828, 0.325, 0.655)
F (0.961, 0.200, 0.922)
F (0.670, 0.961, 0.341)
Pm (0.172, 0.675, 0.345)
F (0.588, 0.435, 0.177)
F (0.227, 0.328, 0.455)
F (0.330, 0.039, 0.659)
F (0.773, 0.672, 0.545)

Summary:
- crystal system = monoclinic
- symmetry = C2/m (12)
- electronic total energy (eV per atom) = -6.478
- calculated volume (Å³/atom) = 13.5
- magnetization (μB/atom) = 0.087
- formation energy (no corrections) (meV per atom) = -3837.3



DFT (PBE) results for Pr2HoF after structural relaxation.

Unit cell a=3.821 b=3.821 c=9.012 alpha=77.76 beta=77.76 gamma=60.00
Fractional positions:
Ho (0.500, 0.500, 0.500)
F (0.000, 0.000, 0.000)
Pr (0.724, 0.724, 0.829)
Pr (0.276, 0.276, 0.171)

Summary:
- crystal system = trigonal
- symmetry = R-3m (166)
- electronic total energy (eV per atom) = -5.125
- calculated volume (Å³/atom) = 27.6
- magnetization (μB/atom) = 0.000
- formation energy (no corrections) (meV per atom) = -1123.0



DFT (PBE) results for Pr2HoF8 after structural relaxation.

Unit cell a=3.888 b=5.403 c=8.253 alpha=104.49 beta=103.62 gamma=90.00
Fractional positions:
F (0.630, 0.905, 0.259)
F (0.763, 0.673, 0.526)
F (0.024, 0.794, 0.047)
F (0.976, 0.206, 0.953)
Pr (0.164, 0.664, 0.329)
F (0.405, 0.611, 0.810)
F (0.595, 0.389, 0.190)
F (0.237, 0.327, 0.474)
F (0.370, 0.095, 0.741)
Ho (0.500, 0.000, 0.000)
Pr (0.836, 0.336, 0.671)

Summary:
- crystal system = monoclinic
- symmetry = C2/m (12)
- electronic total energy (eV per atom) = -6.493
- calculated volume (Å³/atom) = 14.8
- magnetization (μB/atom) = 0.083
- formation energy (no corrections) (meV per atom) = -3847.4



DFT (PBE) results for PrHo2F11 after structural relaxation.

Unit cell a=8.389 b=8.812 c=8.812 alpha=71.63 beta=61.57 gamma=61.57
Fractional positions:
F (0.343, 0.292, 0.448)
F (0.083, 0.552, 0.708)
F (0.583, 0.208, 0.052)
F (0.755, 0.464, 0.814)
F (0.745, 0.686, 0.036)
F (0.467, 0.964, 0.314)
F (0.255, 0.314, 0.964)
F (0.110, 0.197, 0.803)
F (0.033, 0.186, 0.536)
Ho (0.656, 0.688, 0.312)
F (0.843, 0.948, 0.792)
F (0.610, 0.303, 0.697)
F (0.533, 0.036, 0.686)
F (0.245, 0.536, 0.186)
F (0.390, 0.697, 0.303)
Ho (0.844, 0.188, 0.812)
Ho (0.156, 0.812, 0.188)
F (0.417, 0.792, 0.948)
F (0.000, 0.000, 0.000)
F (0.890, 0.803, 0.197)
Ho (0.344, 0.312, 0.688)
F (0.967, 0.814, 0.464)
F (0.157, 0.052, 0.208)
F (0.917, 0.448, 0.292)
F (0.657, 0.708, 0.552)
Pr (0.750, 0.750, 0.750)
Pr (0.250, 0.250, 0.250)
F (0.500, 0.500, 0.500)

Summary:
- crystal system = orthorhombic
- symmetry = Ibam (72)
- electronic total energy (eV per atom) = -5.908
- calculated volume (Å³/atom) = 17.9
- magnetization (μB/atom) = 0.151
- formation energy (no corrections) (meV per atom) = -3442.6



DFT (PBE) results for Ho2PtF after structural relaxation.

Unit cell a=4.220 b=4.220 c=7.555 alpha=73.78 beta=73.78 gamma=60.00
Fractional positions:
Pt (0.500, 0.500, 0.500)
Ho (0.898, 0.898, 0.305)
F (0.000, 0.000, 0.000)
Ho (0.102, 0.102, 0.695)

Summary:
- crystal system = trigonal
- symmetry = R-3m (166)
- electronic total energy (eV per atom) = -6.247
- calculated volume (Å³/atom) = 27.6
- magnetization (μB/atom) = 0.000
- formation energy (no corrections) (meV per atom) = -1980.0



DFT (PBE) results for HoPu2F8 after structural relaxation.

Unit cell a=4.022 b=6.768 c=7.431 alpha=100.88 beta=90.00 gamma=107.29
Fractional positions:
F (0.442, 0.884, 0.254)
F (0.197, 0.393, 0.558)
F (0.690, 0.380, 0.073)
F (0.927, 0.854, 0.868)
F (0.310, 0.620, 0.927)
Pu (0.737, 0.475, 0.734)
Ho (0.500, 0.000, 0.000)
F (0.558, 0.116, 0.746)
F (0.073, 0.146, 0.132)
F (0.803, 0.607, 0.442)
Pu (0.263, 0.525, 0.266)

Summary:
- crystal system = monoclinic
- symmetry = C2/m (12)
- electronic total energy (eV per atom) = -8.044
- calculated volume (Å³/atom) = 17.2
- magnetization (μB/atom) = 1.000
- formation energy (no corrections) (meV per atom) = -3661.6



DFT (PBE) results for Ho2PuF11 after structural relaxation.

Unit cell a=8.029 b=8.540 c=8.540 alpha=74.15 beta=61.96 gamma=61.96
Fractional positions:
Ho (0.135, 0.819, 0.181)
F (0.127, 0.225, 0.775)
F (0.000, 0.000, 0.000)
Pu (0.750, 0.750, 0.750)
F (0.873, 0.775, 0.225)
F (0.627, 0.275, 0.725)
F (0.373, 0.725, 0.275)
F (0.054, 0.180, 0.520)
Ho (0.635, 0.681, 0.319)
F (0.428, 0.793, 0.927)
F (0.946, 0.820, 0.480)
F (0.072, 0.573, 0.707)
Ho (0.365, 0.319, 0.681)
F (0.554, 0.020, 0.680)
F (0.351, 0.293, 0.427)
F (0.246, 0.520, 0.180)
F (0.500, 0.500, 0.500)
F (0.746, 0.680, 0.020)
Ho (0.865, 0.181, 0.819)
Pu (0.250, 0.250, 0.250)
F (0.928, 0.427, 0.293)
F (0.572, 0.207, 0.073)
F (0.649, 0.707, 0.573)
F (0.446, 0.980, 0.320)
F (0.754, 0.480, 0.820)
F (0.149, 0.073, 0.207)
F (0.254, 0.320, 0.980)
F (0.851, 0.927, 0.793)

Summary:
- crystal system = orthorhombic
- symmetry = Ibam (72)
- electronic total energy (eV per atom) = -6.783
- calculated volume (Å³/atom) = 16.3
- magnetization (μB/atom) = 0.214
- formation energy (no corrections) (meV per atom) = -3635.4



DFT (PBE) results for HoPuF after structural relaxation.

Unit cell a=3.302 b=6.771 c=6.749 alpha=80.17 beta=75.84 gamma=75.89
Fractional positions:
Ho (0.770, 0.160, 0.300)
F (0.300, 0.328, 0.072)
Pu (0.036, 0.652, 0.277)
Ho (0.230, 0.840, 0.700)
F (0.700, 0.672, 0.928)
Pu (0.964, 0.348, 0.723)

Summary:
- crystal system = monoclinic
- symmetry = C2/m (12)
- electronic total energy (eV per atom) = -8.228
- calculated volume (Å³/atom) = 23.5
- magnetization (μB/atom) = 2.132
- formation energy (no corrections) (meV per atom) = -1301.0